[1]
TiNiNF2: optimized geometry, GGA+U.

a = 3.447 Å, b = 3.447 Å, c = 5.804 Å
α = 90.00°, β = 90.00°, γ = 90.00°
Space group P4/mmm (No. 123)
Unique sites:
Ti  0.000  0.000  0.000 [1 per cell]
Ni  0.000  0.000  0.500 [1 per cell]
N  0.500  0.500  0.000 [1 per cell]
F  0.000  0.500  0.500 [2 per cell]

Summary:
Density in g cm⁻³: 3.8
Energy above the lowest structure with this stoichiometry in eV per atom: 0.818

=====

[2]
TlNiNF2: optimized geometry, GGA+U.

a = 3.893 Å, b = 3.893 Å, c = 4.286 Å
α = 90.00°, β = 90.00°, γ = 90.00°
Space group P4/mmm (No. 123)
Unique sites:
Tl  0.000  0.000  0.000 [1 per cell]
Ni  0.500  0.500  0.500 [1 per cell]
N  0.500  0.500  0.000 [1 per cell]
F  0.000  0.500  0.500 [2 per cell]

Summary:
Density in g cm⁻³: 8.1
Energy above the lowest structure with this stoichiometry in eV per atom: 0.000

=====

[3]
TlNiNF2: optimized geometry, GGA+U.

a = 4.577 Å, b = 4.577 Å, c = 4.151 Å
α = 90.00°, β = 90.00°, γ = 90.00°
Space group P4/mmm (No. 123)
Unique sites:
Tl  0.000  0.000  0.000 [1 per cell]
Ni  0.500  0.500  0.500 [1 per cell]
N  0.000  0.000  0.500 [1 per cell]
F  0.000  0.500  0.000 [2 per cell]

Summary:
Density in g cm⁻³: 6.0
Energy above the lowest structure with this stoichiometry in eV per atom: 0.775

=====

[4]
VNiN2F: optimized geometry, GGA+U.

a = 3.820 Å, b = 3.820 Å, c = 3.810 Å
α = 90.00°, β = 90.00°, γ = 90.00°
Space group P4/mmm (No. 123)
Unique sites:
V  0.000  0.000  0.000 [1 per cell]
Ni  0.500  0.500  0.500 [1 per cell]
N  0.000  0.500  0.000 [2 per cell]
F  0.000  0.000  0.500 [1 per cell]

Summary:
Density in g cm⁻³: 4.7
Energy above the lowest structure with this stoichiometry in eV per atom: 0.000

=====

[5]
VNiN2F: optimized geometry, GGA+U.

a = 3.749 Å, b = 3.749 Å, c = 3.836 Å
α = 90.00°, β = 90.00°, γ = 90.00°
Space group P4/mmm (No. 123)
Unique sites:
V  0.000  0.000  0.000 [1 per cell]
Ni  0.500  0.500  0.500 [1 per cell]
N  0.000  0.500  0.500 [2 per cell]
F  0.500  0.500  0.000 [1 per cell]

Summary:
Density in g cm⁻³: 4.8
Energy above the lowest structure with this stoichiometry in eV per atom: 0.343

=====

[6]
NiWNF2: optimized geometry, GGA+U.

a = 3.651 Å, b = 3.651 Å, c = 4.654 Å
α = 90.00°, β = 90.00°, γ = 90.00°
Space group P4/mmm (No. 123)
Unique sites:
Ni  0.000  0.000  0.000 [1 per cell]
W  0.500  0.500  0.500 [1 per cell]
N  0.000  0.000  0.500 [1 per cell]
F  0.000  0.500  0.000 [2 per cell]

Summary:
Density in g cm⁻³: 7.9
Energy above the lowest structure with this stoichiometry in eV per atom: 0.347

=====

[7]
NiWNF2: optimized geometry, GGA+U.

a = 4.199 Å, b = 4.199 Å, c = 4.014 Å
α = 90.00°, β = 90.00°, γ = 90.00°
Space group P4/mmm (No. 123)
Unique sites:
Ni  0.000  0.000  0.000 [1 per cell]
W  0.500  0.500  0.500 [1 per cell]
N  0.500  0.500  0.000 [1 per cell]
F  0.000  0.500  0.500 [2 per cell]

Summary:
Density in g cm⁻³: 6.9
Energy above the lowest structure with this stoichiometry in eV per atom: 0.000

=====

[8]
ZnNiNF2: optimized geometry, GGA+U.

a = 3.825 Å, b = 3.825 Å, c = 4.198 Å
α = 90.00°, β = 90.00°, γ = 90.00°
Space group P4/mmm (No. 123)
Unique sites:
Zn  0.000  0.000  0.000 [1 per cell]
Ni  0.500  0.500  0.500 [1 per cell]
N  0.000  0.000  0.500 [1 per cell]
F  0.000  0.500  0.000 [2 per cell]

Summary:
Density in g cm⁻³: 4.8
Energy above the lowest structure with this stoichiometry in eV per atom: 0.224

=====

> Which of these has the highest density?

number 2

=====

> Look up the energy above the lowest structure with this stoichiometry of the third one.

0.775 eV per atom